The following is a DFT calculation (PBE-GGA) of a relaxed CoRe2Au crystal.

- Crystal system: cubic
- SG: F-43m
- E_form: 51.8 kJ per mole of atoms
- D(E_F): 1.15 states/eV per atom
- Total energy: -33.13 eV per cell

```
CoRe2Au
1.0
0.000 3.096 3.096
3.096 0.000 3.096
3.096 3.096 0.000
Co Re Au
1 2 1
Direct
0.000 0.000 0.000
0.250 0.250 0.250
0.500 0.500 0.500
0.750 0.750 0.750
```